one | ## Cr2Tc (PBE-GGA)

Data for crystalline Cr2Tc at its relaxed geometry.

Cell lengths 2.941, 6.288, 4.256 Å; angles 90.00, 90.00, 76.48 degrees
Sites, in units of the cell vectors:
Cr  0.688  0.624  0.000
Cr  0.034  0.932  0.000
Tc  0.861  0.278  0.500
Cr  0.188  0.624  0.500
Cr  0.534  0.932  0.500
Tc  0.361  0.278  0.000

Results
**Spin magnetization**: 0.00 μB/f.u.

---

two | ## Cr2Tc (PBE-GGA)

Data for crystalline Cr2Tc at its relaxed geometry.

Cell lengths 4.757, 4.757, 15.484 Å; angles 90.00, 90.00, 120.00 degrees
Sites, in units of the cell vectors:
Cr  0.000  0.500  0.000
Tc  0.000  0.000  0.096
Tc  0.667  0.333  0.844
Cr  0.333  0.667  0.623
Cr  0.500  0.000  0.000
Cr  0.500  0.500  0.000
Cr  0.000  0.500  0.500
Cr  0.500  0.000  0.500
Tc  0.333  0.667  0.156
Cr  0.164  0.836  0.750
Tc  0.000  0.000  0.904
Cr  0.164  0.327  0.750
Tc  0.000  0.000  0.404
Cr  0.327  0.164  0.250
Cr  0.836  0.164  0.250
Cr  0.667  0.333  0.123
Cr  0.333  0.667  0.877
Tc  0.000  0.000  0.596
Tc  0.333  0.667  0.344
Cr  0.836  0.673  0.250
Tc  0.667  0.333  0.656
Cr  0.667  0.333  0.377
Cr  0.500  0.500  0.500
Cr  0.673  0.836  0.750

Results
**Spin magnetization**: 0.00 μB/f.u.

---

Out of the structures above, which one is the least stable? Solution: one.